TaW2O8 | PBE+U | relaxed

abc: 4.7998 5.6325 5.3665
angles: 113.76 99.93 110.12
Last column: nearest neighbours and their distance in Å.
Atoms (fractional coordinates):
O  0.7407  0.3753  0.3178  2 W 2.06, 1 Ta 2.22
O  0.8711  0.8967  0.6392  2 W 2.05-2.17, 1 Ta 2.07
O  0.4823  0.0974  0.7404  2 W 2.06-2.07, 1 Ta 2.07, 1 O 2.31
O  0.2648  0.6355  0.6834  1 Ta 2.06, 2 W 2.12-2.13, 1 O 2.31
O  0.8254  0.6356  0.9522  1 Ta 2.06, 2 W 2.12-2.13, 1 O 2.31
O  0.0891  0.3752  0.0575  2 W 2.06, 1 Ta 2.22
W  0.8681  0.2817  0.6409  8 O 2.06-2.17
W  0.0994  0.7444  0.3722  8 O 2.05-2.12
Ta  0.7094  0.9642  0.9821  8 O 2.06-2.22
O  0.4802  0.8967  0.2575  2 W 2.05-2.17, 1 Ta 2.07
O  0.0695  0.0973  0.3569  2 W 2.06-2.07, 1 Ta 2.07, 1 O 2.31

Computed properties:
**Mass density**: 9.67 g/cm³
**Space-group type**: No. 5
**Calculated total energy**: -8.05 eV/atom
**Total magnetization**: 0.091 μB per atom
**Crystal system**: monoclinic